No. 1
Entry from the Alexandria database: TlTe2IrN after structural relaxation (GGA-PBE).

Properties
SG ... P4/mmm
Size of the total moment ... 1.645 μB per formula unit
Energy relative to the elements, uncorrected ... 1.915 eV/atom
Uncorrected energy ... -3.25 eV per atom
Calculated density ... 8.49 g cm⁻³
Energy above the most stable polymorph in this dataset ... 1.716 eV/atom

Cell lengths 5.7138, 5.7138, 3.9882 Å; angles 90.00, 90.00, 90.00 degrees
Fractional coordinates of all 5 atoms:
Tl  0.0000  0.0000  0.0000
Te  0.0000  0.5000  0.0000
Te  0.5000  0.0000  0.0000
Ir  0.5000  0.5000  0.5000
N  0.0000  0.0000  0.5000



No. 2
Entry from the Alexandria database: VTeIrN2 after structural relaxation (GGA-PBE).

Properties
SG ... P4/mmm
Size of the total moment ... 0.397 μB per formula unit
Energy relative to the elements, uncorrected ... 1.098 eV/atom
Uncorrected energy ... -6.46 eV per atom
Calculated density ... 6.79 g cm⁻³
Energy above the most stable polymorph in this dataset ... 0.271 eV/atom

Cell lengths 3.7550, 3.7550, 6.9124 Å; angles 90.00, 90.00, 90.00 degrees
Fractional coordinates of all 5 atoms:
V  0.0000  0.0000  0.0000
Te  0.5000  0.5000  0.0000
Ir  0.5000  0.5000  0.5000
N  0.0000  0.5000  0.5000
N  0.5000  0.0000  0.5000



No. 3
Entry from the Alexandria database: VTe2IrN after structural relaxation (GGA-PBE).

Properties
SG ... P4/mmm
Size of the total moment ... 2.956 μB per formula unit
Energy relative to the elements, uncorrected ... 0.485 eV/atom
Uncorrected energy ... -6.03 eV per atom
Calculated density ... 7.73 g cm⁻³
Energy above the most stable polymorph in this dataset ... 0.000 eV/atom

Cell lengths 5.4938, 5.4938, 3.6455 Å; angles 90.00, 90.00, 90.00 degrees
Fractional coordinates of all 5 atoms:
V  0.0000  0.0000  0.0000
Te  0.0000  0.5000  0.5000
Te  0.5000  0.0000  0.5000
Ir  0.5000  0.5000  0.5000
N  0.5000  0.5000  0.0000



No. 4
Entry from the Alexandria database: VTe2IrN after structural relaxation (GGA-PBE).

Properties
SG ... P4/mmm
Size of the total moment ... 0.413 μB per formula unit
Energy relative to the elements, uncorrected ... 0.527 eV/atom
Uncorrected energy ... -5.99 eV per atom
Calculated density ... 8.77 g cm⁻³
Energy above the most stable polymorph in this dataset ... 0.042 eV/atom

Cell lengths 5.2404, 5.2404, 3.5344 Å; angles 90.00, 90.00, 90.00 degrees
Fractional coordinates of all 5 atoms:
V  0.0000  0.0000  0.0000
Te  0.0000  0.5000  0.0000
Te  0.5000  0.0000  0.0000
Ir  0.5000  0.5000  0.5000
N  0.0000  0.0000  0.5000



No. 5
Entry from the Alexandria database: VTeIrN2 after structural relaxation (GGA-PBE).

Properties
SG ... P4/mmm
Size of the total moment ... 0.604 μB per formula unit
Energy relative to the elements, uncorrected ... 0.827 eV/atom
Uncorrected energy ... -6.73 eV per atom
Calculated density ... 8.04 g cm⁻³
Energy above the most stable polymorph in this dataset ... 0.000 eV/atom

Cell lengths 3.7588, 3.7588, 5.8284 Å; angles 90.00, 90.00, 90.00 degrees
Fractional coordinates of all 5 atoms:
V  0.0000  0.0000  0.0000
Te  0.0000  0.0000  0.5000
Ir  0.5000  0.5000  0.5000
N  0.0000  0.5000  0.0000
N  0.5000  0.0000  0.0000



No. 6
Entry from the Alexandria database: TeIrWN2 after structural relaxation (GGA-PBE).

Properties
SG ... P4/mmm
Size of the total moment ... 0.980 μB per formula unit
Energy relative to the elements, uncorrected ... 0.870 eV/atom
Uncorrected energy ... -7.45 eV per atom
Calculated density ... 9.95 g cm⁻³
Energy above the most stable polymorph in this dataset ... 0.000 eV/atom

Cell lengths 3.8753, 3.8753, 5.9091 Å; angles 90.00, 90.00, 90.00 degrees
Fractional coordinates of all 5 atoms:
Te  0.0000  0.0000  0.0000
Ir  0.5000  0.5000  0.0000
W  0.0000  0.0000  0.5000
N  0.0000  0.5000  0.5000
N  0.5000  0.0000  0.5000



No. 7
Entry from the Alexandria database: Te2IrWN after structural relaxation (GGA-PBE).

Properties
SG ... P4/mmm
Size of the total moment ... 0.000 μB per formula unit
Energy relative to the elements, uncorrected ... 0.861 eV/atom
Uncorrected energy ... -6.42 eV per atom
Calculated density ... 10.10 g cm⁻³
Energy above the most stable polymorph in this dataset ... 0.000 eV/atom

Cell lengths 5.3240, 5.3240, 3.7411 Å; angles 90.00, 90.00, 90.00 degrees
Fractional coordinates of all 5 atoms:
Te  0.0000  0.5000  0.0000
Te  0.5000  0.0000  0.0000
Ir  0.0000  0.0000  0.5000
W  0.5000  0.5000  0.0000
N  0.5000  0.5000  0.5000



No. 8
Entry from the Alexandria database: TeIrWN2 after structural relaxation (GGA-PBE).

Properties
SG ... P4/mmm
Size of the total moment ... 3.457 μB per formula unit
Energy relative to the elements, uncorrected ... 1.512 eV/atom
Uncorrected energy ... -6.81 eV per atom
Calculated density ... 8.28 g cm⁻³
Energy above the most stable polymorph in this dataset ... 0.642 eV/atom

Cell lengths 3.7949, 3.7949, 7.4011 Å; angles 90.00, 90.00, 90.00 degrees
Fractional coordinates of all 5 atoms:
Te  0.0000  0.0000  0.0000
Ir  0.0000  0.0000  0.5000
W  0.5000  0.5000  0.0000
N  0.0000  0.5000  0.5000
N  0.5000  0.0000  0.5000



- The highest calculated density belongs to which entry?
  Te2IrWN



- Among the records above, which one has the highest energy relative to the elements, uncorrected?
  TlTe2IrN



- Look up the size of the total moment of the third one.
  2.956 μB per formula unit



Please write out number 5 again, unchanged.
Entry from the Alexandria database: VTeIrN2 after structural relaxation (GGA-PBE).

Properties
SG ... P4/mmm
Size of the total moment ... 0.604 μB per formula unit
Energy relative to the elements, uncorrected ... 0.827 eV/atom
Uncorrected energy ... -6.73 eV per atom
Calculated density ... 8.04 g cm⁻³
Energy above the most stable polymorph in this dataset ... 0.000 eV/atom

Cell lengths 3.7588, 3.7588, 5.8284 Å; angles 90.00, 90.00, 90.00 degrees
Fractional coordinates of all 5 atoms:
V  0.0000  0.0000  0.0000
Te  0.0000  0.0000  0.5000
Ir  0.5000  0.5000  0.5000
N  0.0000  0.5000  0.0000
N  0.5000  0.0000  0.0000